K2Mg2Mo3O12: relaxed, PBE with a Hubbard U.

Unit cell a=10.960 b=10.960 c=10.960 alpha=90.00 beta=90.00 gamma=90.00
Positions (direct):
K 0.058 0.058 0.058
K 0.442 0.942 0.558
K 0.942 0.558 0.442
K 0.558 0.442 0.942
K 0.824 0.824 0.824
K 0.676 0.176 0.324
K 0.176 0.324 0.676
K 0.324 0.676 0.176
Mg 0.339 0.339 0.339
Mg 0.161 0.661 0.839
Mg 0.661 0.839 0.161
Mg 0.839 0.161 0.661
Mg 0.614 0.614 0.614
Mg 0.886 0.386 0.114
Mg 0.386 0.114 0.886
Mg 0.114 0.886 0.386
Mo 0.028 0.202 0.379
Mo 0.472 0.798 0.879
Mo 0.972 0.702 0.121
Mo 0.379 0.028 0.202
Mo 0.528 0.298 0.621
Mo 0.879 0.472 0.798
Mo 0.121 0.972 0.702
Mo 0.621 0.528 0.298
Mo 0.202 0.379 0.028
Mo 0.702 0.121 0.972
Mo 0.298 0.621 0.528
Mo 0.798 0.879 0.472
O 0.026 0.047 0.324
O 0.474 0.953 0.824
O 0.974 0.547 0.176
O 0.324 0.026 0.047
O 0.526 0.453 0.676
O 0.824 0.474 0.953
O 0.176 0.974 0.547
O 0.676 0.526 0.453
O 0.047 0.324 0.026
O 0.547 0.176 0.974
O 0.453 0.676 0.526
O 0.953 0.824 0.474
O 0.280 0.475 0.457
O 0.220 0.525 0.957
O 0.720 0.975 0.043
O 0.457 0.280 0.475
O 0.780 0.025 0.543
O 0.957 0.220 0.525
O 0.043 0.720 0.975
O 0.543 0.780 0.025
O 0.475 0.457 0.280
O 0.975 0.043 0.720
O 0.025 0.543 0.780
O 0.525 0.957 0.220
O 0.056 0.795 0.226
O 0.444 0.205 0.726
O 0.944 0.295 0.274
O 0.226 0.056 0.795
O 0.556 0.705 0.774
O 0.726 0.444 0.205
O 0.274 0.944 0.295
O 0.774 0.556 0.705
O 0.795 0.226 0.056
O 0.295 0.274 0.944
O 0.705 0.774 0.556
O 0.205 0.726 0.444
O 0.182 0.253 0.397
O 0.318 0.747 0.897
O 0.818 0.753 0.103
O 0.397 0.182 0.253
O 0.682 0.247 0.603
O 0.897 0.318 0.747
O 0.103 0.818 0.753
O 0.603 0.682 0.247
O 0.253 0.397 0.182
O 0.753 0.103 0.818
O 0.247 0.603 0.682
O 0.747 0.897 0.318

Values from the calculation:
E above lowest polymorph in meV per atom: 20.2
Volume in Å³/f.u.: 329.1
Electronic total energy in eV for the cell shown: -496.0